one.
The following is a DFT calculation (PBE) of an optimized crystal structure of TiFe2Co2.

Lattice parameters (Å, degrees): 6.7520 6.7520 2.7088 90.00 90.00 90.00
Last column: nearest neighbours and their distance in Å.
Fractional positions:
Ti1 0.0000 0.0000 0.0000  4 Co 2.62, 2 Ti 2.71, 8 Fe 2.88
Ti2 0.5000 0.5000 0.0000  4 Co 2.62, 2 Ti 2.71, 8 Fe 2.88
Fe1 0.1578 0.3422 0.5000  6 Co 2.38-2.42
Fe2 0.3422 0.8422 0.5000  6 Co 2.38-2.42
Fe3 0.6578 0.1578 0.5000  6 Co 2.38-2.42
Fe4 0.8422 0.6578 0.5000  6 Co 2.38-2.42
Co1 0.1379 0.6379 0.0000  6 Fe 2.38-2.42, 2 Ti 2.62, 1 Co 2.63
Co2 0.3621 0.1379 0.0000  6 Fe 2.38-2.42, 2 Ti 2.62, 1 Co 2.63
Co3 0.6379 0.8621 0.0000  6 Fe 2.38-2.42, 2 Ti 2.62, 1 Co 2.63
Co4 0.8621 0.3621 0.0000  6 Fe 2.38-2.42, 2 Ti 2.62, 1 Co 2.63

Properties
DOS(E_F): 12.53 states/eV/cell

=====

two.
The following is a DFT calculation (PBE) of an optimized crystal structure of TiFe2Co2.

Lattice parameters (Å, degrees): 6.2372 6.2372 6.2372 140.94 73.46 120.55
Last column: nearest neighbours and their distance in Å.
Fractional positions:
Ti1 0.3191 0.0691 0.2500  6 Co 2.47-2.70, 2 Fe 2.54
Ti2 0.6809 0.9309 0.7500  6 Co 2.47-2.70, 2 Fe 2.54
Fe1 0.1268 0.1701 0.9567  3 Fe 2.27-2.31, 2 Co 2.36-2.47, 1 Ti 2.54
Fe2 0.2866 0.8299 0.4567  3 Fe 2.27-2.31, 2 Co 2.36-2.47, 1 Ti 2.54
Fe3 0.7134 0.1701 0.5433  3 Fe 2.27-2.31, 2 Co 2.36-2.47, 1 Ti 2.54
Fe4 0.8732 0.8299 0.0433  3 Fe 2.27-2.31, 2 Co 2.36-2.47, 1 Ti 2.54
Co1 0.1686 0.5505 0.6181  4 Fe 2.36-2.60, 2 Co 2.44-2.64, 2 Ti 2.47
Co2 0.4324 0.5505 0.8819  4 Fe 2.36-2.60, 2 Co 2.44-2.64, 2 Ti 2.47
Co3 0.5676 0.4495 0.1181  4 Fe 2.36-2.60, 2 Co 2.44-2.64, 2 Ti 2.47
Co4 0.8314 0.4495 0.3819  4 Fe 2.36-2.60, 2 Co 2.44-2.64, 2 Ti 2.47

Properties
DOS(E_F): 11.41 states/eV/cell

=====

three.
The following is a DFT calculation (PBE) of an optimized crystal structure of TiFe2Co2.

Lattice parameters (Å, degrees): 6.8333 6.8333 2.5252 90.00 90.00 90.00
Last column: nearest neighbours and their distance in Å.
Fractional positions:
Ti1 0.0000 0.0000 0.0000  2 Ti 2.53, 4 Fe 2.72, 8 Co 2.82
Ti2 0.5000 0.5000 0.0000  2 Ti 2.53, 4 Fe 2.72, 8 Co 2.82
Fe1 0.1216 0.3784 0.0000  6 Co 2.33-2.42, 3 Fe 2.35-2.53
Fe2 0.3784 0.8784 0.0000  6 Co 2.33-2.42, 3 Fe 2.35-2.53
Fe3 0.6216 0.1216 0.0000  6 Co 2.33-2.42, 3 Fe 2.35-2.53
Fe4 0.8784 0.6216 0.0000  6 Co 2.33-2.42, 3 Fe 2.35-2.53
Co1 0.1754 0.6754 0.5000  6 Fe 2.33-2.42, 2 Co 2.53
Co2 0.3246 0.1754 0.5000  6 Fe 2.33-2.42, 2 Co 2.53
Co3 0.6754 0.8246 0.5000  6 Fe 2.33-2.42, 2 Co 2.53
Co4 0.8246 0.3246 0.5000  6 Fe 2.33-2.42, 2 Co 2.53

Properties
DOS(E_F): 15.53 states/eV/cell

=====

Energy above the most stable structure, in meV/atom: one 0; two 155; three 39

=====

one.
The following is a DFT calculation (PBE) of an optimized crystal structure of TiFeCo4.

Lattice parameters (Å, degrees): 4.6116 4.6116 7.9435 90.00 90.00 90.00
Last column: nearest neighbours and their distance in Å.
Fractional positions:
Ti1 0.2500 0.7500 0.2500  4 Co 2.37
Ti2 0.7500 0.2500 0.7500  4 Co 2.37
Fe1 0.2500 0.7500 0.7500  4 Co 2.31
Fe2 0.7500 0.2500 0.2500  4 Co 2.31
Co1 0.0193 0.2500 0.0044  3 Co 2.13-2.31, 1 Fe 2.31, 1 Ti 2.37
Co2 0.2500 0.0193 0.5044  3 Co 2.13-2.31, 1 Fe 2.31, 1 Ti 2.37
Co3 0.2500 0.4807 0.5044  3 Co 2.13-2.31, 1 Fe 2.31, 1 Ti 2.37
Co4 0.4807 0.2500 0.0044  3 Co 2.13-2.31, 1 Fe 2.31, 1 Ti 2.37
Co5 0.5193 0.7500 0.9956  3 Co 2.13-2.31, 1 Fe 2.31, 1 Ti 2.37
Co6 0.7500 0.5193 0.4956  3 Co 2.13-2.31, 1 Fe 2.31, 1 Ti 2.37
Co7 0.7500 0.9807 0.4956  3 Co 2.13-2.31, 1 Fe 2.31, 1 Ti 2.37
Co8 0.9807 0.7500 0.9956  3 Co 2.13-2.31, 1 Fe 2.31, 1 Ti 2.37

Properties
DOS(E_F): 9.36 states/eV/cell

=====

two.
The following is a DFT calculation (PBE) of an optimized crystal structure of TiFeCo4.

Lattice parameters (Å, degrees): 4.6726 4.6726 4.6726 60.00 60.00 60.00
Last column: nearest neighbours and their distance in Å.
Fractional positions:
Ti1 0.0000 0.0000 0.0000  12 Co 2.74, 4 Fe 2.86
Fe1 0.7500 0.7500 0.7500  12 Co 2.74, 4 Ti 2.86
Co1 0.3753 0.3753 0.3753  6 Co 2.33-2.34
Co2 0.3753 0.3753 0.8742  6 Co 2.33-2.34
Co3 0.3753 0.8742 0.3753  6 Co 2.33-2.34
Co4 0.8742 0.3753 0.3753  6 Co 2.33-2.34

Properties
DOS(E_F): 5.71 states/eV/cell

=====

Energy above the most stable structure, in meV/atom: one 648; two 0

=====

one.
The following is a DFT calculation (PBE) of an optimized crystal structure of Ti3FeCo2.

Lattice parameters (Å, degrees): 2.9637 2.9637 8.9442 90.00 90.00 90.00
Last column: nearest neighbours and their distance in Å.
Fractional positions:
Ti1 0.0000 0.0000 0.0000  8 Co 2.57
Ti2 0.0000 0.0000 0.3361  4 Fe 2.56, 4 Co 2.59
Ti3 0.0000 0.0000 0.6639  4 Fe 2.56, 4 Co 2.59
Fe1 0.5000 0.5000 0.5000  8 Ti 2.56
Co1 0.5000 0.5000 0.1664  8 Ti 2.57-2.59
Co2 0.5000 0.5000 0.8336  8 Ti 2.57-2.59

Properties
DOS(E_F): 5.58 states/eV/cell

=====

two.
The following is a DFT calculation (PBE) of an optimized crystal structure of Ti3FeCo2.

Lattice parameters (Å, degrees): 4.2053 4.2053 10.2931 90.00 90.00 120.00
Last column: nearest neighbours and their distance in Å.
Fractional positions:
Ti1 0.0000 0.0000 0.2481  5 Co 2.55-2.59, 3 Fe 2.57
Ti2 0.0000 0.0000 0.7519  5 Co 2.55-2.59, 3 Fe 2.57
Ti3 0.3333 0.6667 0.4147  1 Fe 2.55, 7 Co 2.57-2.60
Ti4 0.3333 0.6667 0.9169  4 Fe 2.57-2.58, 4 Co 2.57
Ti5 0.6667 0.3333 0.0831  4 Fe 2.57-2.58, 4 Co 2.57
Ti6 0.6667 0.3333 0.5853  1 Fe 2.55, 7 Co 2.57-2.60
Fe1 0.3333 0.6667 0.1666  8 Ti 2.55-2.58
Fe2 0.6667 0.3333 0.8334  8 Ti 2.55-2.58
Co1 0.0000 0.0000 0.0000  8 Ti 2.55-2.57
Co2 0.0000 0.0000 0.5000  8 Ti 2.58-2.59
Co3 0.3333 0.6667 0.6668  8 Ti 2.57-2.60
Co4 0.6667 0.3333 0.3332  8 Ti 2.57-2.60

Properties
DOS(E_F): 6.68 states/eV/cell

=====

Energy above the most stable structure, in meV/atom: one 6; two 0

=====

one.
The following is a DFT calculation (PBE) of an optimized crystal structure of TlFeCo.

Lattice parameters (Å, degrees): 5.2176 5.2176 5.2176 145.01 145.01 50.32
Last column: nearest neighbours and their distance in Å.
Fractional positions:
Tl1 0.0000 0.0000 0.0000  5 Co 2.85-2.93, 5 Fe 2.88-2.89, 4 Tl 3.14
Fe1 0.6938 0.6938 0.0000  4 Co 2.47
Co1 0.3097 0.3097 0.0000  4 Fe 2.47

Properties
DOS(E_F): 2.73 states/eV/cell

=====

two.
The following is a DFT calculation (PBE) of an optimized crystal structure of TlFeCo.

Lattice parameters (Å, degrees): 3.0645 3.0645 6.1463 90.00 90.00 120.00
Last column: nearest neighbours and their distance in Å.
Fractional positions:
Tl1 0.0000 0.0000 0.0000  3 Co 2.87, 3 Fe 2.95, 6 Tl 3.06
Fe1 0.6667 0.3333 0.6166  3 Co 2.34
Co1 0.3333 0.6667 0.3683  3 Fe 2.34

Properties
DOS(E_F): 1.82 states/eV/cell

=====

Energy above the most stable structure, in meV/atom: one 0; two 129

=====

one.
The following is a DFT calculation (PBE) of an optimized crystal structure of TlFeCo.

Lattice parameters (Å, degrees): 4.2074 4.2074 3.0211 90.00 90.00 120.00
Last column: nearest neighbours and their distance in Å.
Fractional positions:
Tl1 0.0000 0.0000 0.0000  6 Co 2.77-2.96, 6 Fe 2.79-2.94, 2 Tl 3.02
Fe1 0.6667 0.3333 0.5472  3 Co 2.45
Co1 0.3333 0.6667 0.4386  3 Fe 2.45

Properties
DOS(E_F): 2.59 states/eV/cell

=====

two.
The following is a DFT calculation (PBE) of an optimized crystal structure of TlFeCo.

Lattice parameters (Å, degrees): 4.1883 4.1883 4.1883 60.00 60.00 60.00
Last column: nearest neighbours and their distance in Å.
Fractional positions:
Tl1 0.0000 0.0000 0.0000  4 Co 2.56
Fe1 0.5000 0.5000 0.5000  4 Co 2.56
Co1 0.2500 0.2500 0.2500  4 Fe 2.56, 4 Tl 2.56

Properties
DOS(E_F): 4.66 states/eV/cell

=====

Energy above the most stable structure, in meV/atom: one 0; two 86

=====

one.
The following is a DFT calculation (PBE) of an optimized crystal structure of Tm8FeCo2.

Lattice parameters (Å, degrees): 8.6851 8.6851 6.5595 106.91 106.91 32.31
Last column: nearest neighbours and their distance in Å.
Fractional positions:
Tm1 0.0341 0.0341 0.2969  1 Co 2.80, 2 Fe 2.90
Tm2 0.2014 0.2014 0.8176  1 Co 2.60
Tm3 0.3304 0.3304 0.5295  1 Co 2.70, 1 Fe 2.89
Tm4 0.4056 0.4056 0.0524  1 Fe 2.88, 2 Co 3.07
Tm5 0.5944 0.5944 0.9476  1 Fe 2.88, 2 Co 3.07
Tm6 0.6696 0.6696 0.4705  1 Co 2.70, 1 Fe 2.89
Tm7 0.7986 0.7986 0.1824  1 Co 2.60
Tm8 0.9659 0.9659 0.7031  1 Co 2.80, 2 Fe 2.90
Fe1 0.5000 0.5000 0.5000  8 Tm 2.88-2.90
Co1 0.1865 0.1865 0.2011  3 Tm 2.60-2.80
Co2 0.8135 0.8135 0.7989  3 Tm 2.60-2.80

Properties
DOS(E_F): 11.27 states/eV/cell

=====

two.
The following is a DFT calculation (PBE) of an optimized crystal structure of Tm8FeCo2.

Lattice parameters (Å, degrees): 7.2623 7.2623 5.8213 100.44 100.44 113.17
Last column: nearest neighbours and their distance in Å.
Fractional positions:
Tm1 0.0000 0.0000 0.0000  1 Fe 2.88, 2 Co 2.94
Tm2 0.0276 0.2862 0.5823  2 Co 2.68-2.70, 1 Fe 2.84
Tm3 0.1488 0.5672 0.1895  1 Fe 2.71
Tm4 0.2862 0.0276 0.5823  2 Co 2.68-2.70, 1 Fe 2.84
Tm5 0.4416 0.7029 0.7757  2 Co 2.67-2.70, 1 Fe 2.98
Tm6 0.5672 0.1488 0.1895  1 Fe 2.71
Tm7 0.7029 0.4416 0.7757  2 Co 2.67-2.70, 1 Fe 2.98
Tm8 0.7140 0.7140 0.3703  1 Fe 2.86, 2 Co 2.90
Fe1 0.3515 0.3515 0.3503  8 Tm 2.71-2.98
Co1 0.0523 0.6750 0.6760  6 Tm 2.67-2.94
Co2 0.6750 0.0523 0.6760  6 Tm 2.67-2.94

Properties
DOS(E_F): 11.46 states/eV/cell

=====

Energy above the most stable structure, in meV/atom: one 0; two 62

=====

one.
The following is a DFT calculation (PBE) of an optimized crystal structure of TmFeCo2.

Lattice parameters (Å, degrees): 3.0677 3.0677 6.2084 90.00 90.00 90.00
Last column: nearest neighbours and their distance in Å.
Fractional positions:
Tm1 0.0000 0.0000 0.0000  8 Co 2.83, 4 Tm 3.07, 2 Fe 3.10
Fe1 0.0000 0.0000 0.5000  8 Co 2.52
Co1 0.5000 0.5000 0.2919  4 Fe 2.52, 1 Co 2.58, 4 Tm 2.83
Co2 0.5000 0.5000 0.7081  4 Fe 2.52, 1 Co 2.58, 4 Tm 2.83

Properties
DOS(E_F): 1.80 states/eV/cell

=====

two.
The following is a DFT calculation (PBE) of an optimized crystal structure of TmFeCo2.

Lattice parameters (Å, degrees): 4.7354 4.4845 11.7321 90.00 90.00 90.00
Last column: nearest neighbours and their distance in Å.
Fractional positions:
Tm1 0.2500 0.0000 0.0919  8 Co 2.74-2.76
Tm2 0.2500 0.5000 0.3073  3 Fe 2.83-2.91, 4 Co 3.15
Tm3 0.7500 0.0000 0.9081  8 Co 2.74-2.76
Tm4 0.7500 0.5000 0.6927  3 Fe 2.83-2.91, 4 Co 3.15
Fe1 0.2500 0.0000 0.6719  4 Co 2.29-2.34
Fe2 0.2500 0.5000 0.5487  4 Co 2.60, 4 Fe 2.63-2.67, 3 Tm 2.83-2.91
Fe3 0.7500 0.0000 0.3281  4 Co 2.29-2.34
Fe4 0.7500 0.5000 0.4513  4 Co 2.60, 4 Fe 2.63-2.67, 3 Tm 2.83-2.91
Co1 0.0000 0.0000 0.5000  6 Fe 2.34-2.60, 2 Co 2.37
Co2 0.0000 0.5000 0.0000  6 Co 2.37-2.46
Co3 0.2500 0.2530 0.8419  4 Co 2.22-2.46, 1 Fe 2.29
Co4 0.2500 0.7470 0.8419  4 Co 2.22-2.46, 1 Fe 2.29
Co5 0.5000 0.0000 0.5000  6 Fe 2.34-2.60, 2 Co 2.37
Co6 0.5000 0.5000 0.0000  6 Co 2.37-2.46
Co7 0.7500 0.2530 0.1581  4 Co 2.22-2.46, 1 Fe 2.29
Co8 0.7500 0.7470 0.1581  4 Co 2.22-2.46, 1 Fe 2.29

Properties
DOS(E_F): 18.57 states/eV/cell

=====

Energy above the most stable structure, in meV/atom: one 0; two 45

=====

one.
The following is a DFT calculation (PBE) of an optimized crystal structure of Tm2FeCo.

Lattice parameters (Å, degrees): 9.2813 9.2813 9.2813 20.16 20.16 20.16
Last column: nearest neighbours and their distance in Å.
Fractional positions:
Tm1 0.0977 0.0977 0.0977  3 Co 2.66, 1 Fe 2.67
Tm2 0.9023 0.9023 0.9023  3 Co 2.66, 1 Fe 2.67
Fe1 0.0000 0.0000 0.0000  2 Tm 2.67
Co1 0.5000 0.5000 0.5000  6 Tm 2.66

Properties
DOS(E_F): 3.01 states/eV/cell

=====

two.
The following is a DFT calculation (PBE) of an optimized crystal structure of Tm2FeCo.

Lattice parameters (Å, degrees): 4.6315 4.6315 4.6315 60.00 60.00 60.00
Last column: nearest neighbours and their distance in Å.
Fractional positions:
Tm1 0.2500 0.2500 0.2500  4 Fe 2.84, 4 Co 2.84
Tm2 0.7500 0.7500 0.7500  4 Fe 2.84, 4 Co 2.84
Fe1 0.0000 0.0000 0.0000  8 Tm 2.84
Co1 0.5000 0.5000 0.5000  8 Tm 2.84

Properties
DOS(E_F): 5.73 states/eV/cell

=====

Energy above the most stable structure, in meV/atom: one 585; two 0